Material: PrNdScIn
Method: DFT, PBE-GGA
State: relaxed

It has space group P4/nmm (No. 129, origin choice 2), with a = 4.835 Å, b = 4.835 Å, c = 9.767 Å, α = 90.00°, β = 90.00° and γ = 90.00°. The inequivalent atoms are Pr at (0.250, 0.750, 0.000), Nd at (0.250, 0.250, 0.259), Sc at (0.250, 0.750, 0.500) and In at (0.250, 0.250, 0.719).

For the energy above the most stable polymorph in this dataset, the calculation gives 0 meV/atom. The calculation puts the formation energy at -0.87 eV per formula unit.

***

Material: Pr6Nd3Sm2In
Method: DFT, PBE-GGA
State: relaxed

It has space group C2/m (No. 12), with a = 6.306 Å, b = 10.961 Å, c = 12.060 Å, α = 90.00°, β = 100.26° and γ = 90.00°. The inequivalent atoms are Pr at (0.242, 0.000, 0.254), Pr at (0.244, 0.163, 0.745), Nd at (0.000, 0.169, 0.000), Nd at (0.000, 0.500, 0.000), Sm at (0.000, 0.333, 0.500) and In at (0.000, 0.000, 0.500).

The calculation puts the formation energy at -0.51 eV per formula unit.